## Cs2BHO2 (PBE-GGA)

Data for Cs2BHO2 after structural relaxation.

The structure in extended XYZ format:
```
12
Lattice="6.162 -3.235 0.000 6.162 3.235 0.000 0.000 0.000 6.387" Properties=species:S:1:pos:R:3 pbc="T T T"
Cs 4.305 1.654 3.193
Cs 8.019 1.654 3.193
Cs 4.305 -1.654 0.000
Cs 8.019 -1.654 0.000
B 6.162 1.479 6.249
B 6.162 -1.479 3.056
H 6.162 0.548 5.353
H 6.162 -0.548 2.160
O 4.918 1.878 0.230
O 7.405 1.878 0.230
O 4.918 -1.878 3.423
O 7.405 -1.878 3.423
```

Computed properties:
Density of states at the Fermi level: 0.00 states/eV/f.u.
Uncorrected energy: -61.710 eV per cell
Total magnetization: 0.00 μB per formula unit



## Cd2Ag3Au7 (PBE-GGA)

Data for Cd2Ag3Au7 after structural relaxation.

The structure in extended XYZ format:
```
12
Lattice="5.393 0.000 0.000 0.000 2.890 0.000 -1.621 0.000 14.369" Properties=species:S:1:pos:R:3 pbc="T T T"
Cd -0.030 0.000 2.506
Cd 3.802 0.000 11.862
Ag 1.097 1.445 12.043
Ag 1.886 0.000 7.184
Ag 2.676 1.445 2.326
Au -0.810 1.445 7.184
Au 0.181 0.000 9.567
Au 1.359 0.000 0.011
Au 0.959 1.445 4.825
Au 2.813 1.445 9.543
Au 2.413 0.000 14.357
Au 3.591 0.000 4.802
```

Computed properties:
DFT formation energy: -0.04 eV/atom
Density of states at the Fermi level: 2.21 states/eV/f.u.
Uncorrected energy: -33.820 eV per cell
Excess energy over the best structure of this formula in the dataset: 0.0 meV per atom
Total magnetization: 0.00 μB per formula unit



## Cs3CdAg2Cl6 (PBE-GGA)

Data for Cs3CdAg2Cl6 after structural relaxation.

The structure in extended XYZ format:
```
12
Lattice="7.869 0.000 0.000 -3.934 6.815 0.000 0.000 0.000 8.672" Properties=species:S:1:pos:R:3 pbc="T T T"
Cs 0.000 0.000 0.000
Cs 0.000 4.543 5.508
Cs 3.934 2.272 3.164
Cd 0.000 0.000 4.336
Ag 0.000 4.543 1.635
Ag 3.934 2.272 7.037
Cl 0.000 2.188 2.691
Cl -2.040 5.721 2.691
Cl 1.895 1.094 5.981
Cl 2.040 5.721 2.691
Cl 5.974 1.094 5.981
Cl 3.934 4.627 5.981
```

Computed properties:
Density of states at the Fermi level: 2.22 states/eV/f.u.
Uncorrected energy: -34.100 eV per cell
Formation energy without anion corrections: -13.84 eV per formula unit
Total magnetization: 0.00 μB per formula unit